The following is a PBE with a Hubbard U calculation of crystalline Mg3Fe2O7 at its relaxed geometry, from the Alexandria database.

a = 9.154 Å, b = 9.154 Å, c = 5.407 Å
α = 90.00°, β = 90.00°, γ = 32.48°
Atoms (fractional coordinates):
Mg 0.049 0.567 0.353
Mg 0.235 0.765 0.500
Mg 0.433 0.951 0.353
Mg 0.567 0.049 0.853
Mg 0.765 0.235 0.000
Mg 0.951 0.433 0.853
Fe 0.146 0.645 0.931
Fe 0.355 0.854 0.931
Fe 0.645 0.146 0.431
Fe 0.854 0.355 0.431
O 0.014 0.142 0.757
O 0.077 0.335 0.482
O 0.142 0.014 0.257
O 0.314 0.418 0.627
O 0.335 0.077 0.982
O 0.379 0.621 0.874
O 0.418 0.314 0.127
O 0.582 0.686 0.627
O 0.621 0.379 0.374
O 0.665 0.923 0.482
O 0.686 0.582 0.127
O 0.858 0.986 0.757
O 0.923 0.665 0.982
O 0.986 0.858 0.257

## Properties
Energy = -6.08 eV/atom
ρ = 4.0 Mg/m³